Entry 1:
This record from Alexandria via LeMat-Bulk describes a relaxed structure of La2GdPa. The functional is PBE.

Cell: 3.3798 3.3798 37.8086 Å, 90.00 90.00 120.00°
Space group R-3m (No. 166, hexagonal axes)
Inequivalent atoms, fractional coordinates:
1 La 0.0000 0.0000 0.0836 x6
2 Gd 0.0000 0.0000 0.5000 x3
3 Pa 0.0000 0.0000 0.0000 x3

Summary:
* energy of formation: 308 meV/atom
* E above lowest polymorph: 0.68 eV per formula unit
* total magnetic moment: 22.07 μB/cell
* calculated total energy: -8.05 eV/atom

Entry 2:
This record from Alexandria via LeMat-Bulk describes a relaxed structure of Al2O3. The functional is PBE.

Cell: 4.829 5.093 14.094 Å, 90.00 90.00 90.00°
Space group Pbca (No. 61)
Inequivalent atoms, fractional coordinates:
1 Al 0.001 0.184 0.073 x8
2 Al 0.003 0.245 0.321 x8
3 O 0.144 0.117 0.203 x8
4 O 0.153 0.665 0.550 x8
5 O 0.198 0.539 0.877 x8

Summary:
* raw formation energy: -14.806 eV/f.u.
* total magnetic moment: 0.00 μB/cell
* calculated total energy: -7.43 eV/atom

Entry 3:
This record from Alexandria via LeMat-Bulk describes a relaxed structure of Ce6AgRh3. The functional is PBE.

Cell: 10.886 13.661 6.877 Å, 90.00 90.00 90.00°
Space group Cmc2_1 (No. 36)
Inequivalent atoms, fractional coordinates:
1 Ce 0.000 0.004 0.000 x4
2 Ce 0.000 0.236 0.252 x4
3 Ce 0.163 0.432 0.455 x8
4 Ce 0.196 0.297 0.006 x8
5 Ag 0.000 0.210 0.714 x4
6 Rh 0.000 0.441 0.141 x4
7 Rh 0.178 0.083 0.246 x8

Summary:
* energy of formation: -345 meV/atom
* total magnetic moment: 11.86 μB/cell
* calculated total energy: -6.40 eV/atom